Entry 1:
## AcCd4Ga (PBE)

Data for an optimized crystal structure of AcCd4Ga.

The structure in CIF format:
```
data_AcCd4Ga
_chemical_formula_sum 'Ac4 Cd16 Ga4'
_symmetry_space_group_name_H-M 'F -4 3 m'
_symmetry_Int_Tables_number 216
_symmetry_space_group_name_Hall 'F -4 2 3'
_cell_length_a 8.571
_cell_length_b 8.571
_cell_length_c 8.571
_cell_angle_alpha 90.00
_cell_angle_beta 90.00
_cell_angle_gamma 90.00
loop_
_atom_site_label
_atom_site_fract_x
_atom_site_fract_y
_atom_site_fract_z
Ac1 0.000 0.000 0.000
Cd1 0.125 0.125 0.375
Ga1 0.250 0.250 0.750
```

excess energy over the best structure of this formula in the dataset	11.8	kJ per mole of atoms
density of states at the Fermi level	0.565	states/eV/atom
energy of formation from the pure elements	-12.33	kJ per mole of atoms


Entry 2:
## AcCd4Ga (PBE)

Data for an optimized crystal structure of AcCd4Ga.

The structure in CIF format:
```
data_AcCd4Ga
_chemical_formula_sum 'Ac2 Cd8 Ga2'
_symmetry_space_group_name_H-M 'P m m a'
_symmetry_Int_Tables_number 51
_symmetry_space_group_name_Hall '-P 2a 2a'
_cell_length_a 8.149
_cell_length_b 4.673
_cell_length_c 7.980
_cell_angle_alpha 90.00
_cell_angle_beta 90.00
_cell_angle_gamma 90.00
loop_
_atom_site_label
_atom_site_fract_x
_atom_site_fract_y
_atom_site_fract_z
Ac1 0.250 0.000 0.124
Cd1 0.000 0.000 0.500
Cd2 0.057 0.500 0.813
Cd3 0.250 0.500 0.438
Ga1 0.250 0.000 0.728
```

excess energy over the best structure of this formula in the dataset	3.5	kJ per mole of atoms
density of states at the Fermi level	0.297	states/eV/atom
energy of formation from the pure elements	-20.65	kJ per mole of atoms


Entry 3:
## Ac3Cd2Ga (PBE)

Data for an optimized crystal structure of Ac3Cd2Ga.

The structure in CIF format:
```
data_Ac3Cd2Ga
_chemical_formula_sum 'Ac3 Cd2 Ga1'
_symmetry_space_group_name_H-M 'P -3 m 1'
_symmetry_Int_Tables_number 164
_symmetry_space_group_name_Hall '-P 3 2"'
_cell_length_a 5.6841
_cell_length_b 5.6841
_cell_length_c 6.9897
_cell_angle_alpha 90.00
_cell_angle_beta 90.00
_cell_angle_gamma 120.00
loop_
_atom_site_label
_atom_site_fract_x
_atom_site_fract_y
_atom_site_fract_z
Ac1 0.0000 0.0000 0.0000
Ac2 0.3333 0.6667 0.6548
Cd1 0.3333 0.6667 0.1537
Ga1 0.0000 0.0000 0.5000
```

excess energy over the best structure of this formula in the dataset	1.4	kJ per mole of atoms
density of states at the Fermi level	1.429	states/eV/atom
energy of formation from the pure elements	-31.68	kJ per mole of atoms


Entry 4:
## AcCdGa (PBE)

Data for an optimized crystal structure of AcCdGa.

The structure in CIF format:
```
data_AcCdGa
_chemical_formula_sum 'Ac4 Cd4 Ga4'
_symmetry_space_group_name_H-M 'F -4 3 m'
_symmetry_Int_Tables_number 216
_symmetry_space_group_name_Hall 'F -4 2 3'
_cell_length_a 7.150
_cell_length_b 7.150
_cell_length_c 7.150
_cell_angle_alpha 90.00
_cell_angle_beta 90.00
_cell_angle_gamma 90.00
loop_
_atom_site_label
_atom_site_fract_x
_atom_site_fract_y
_atom_site_fract_z
Ac1 0.000 0.000 0.000
Cd1 0.000 0.000 0.500
Ga1 0.250 0.250 0.250
```

excess energy over the best structure of this formula in the dataset	8.2	kJ per mole of atoms
density of states at the Fermi level	0.265	states/eV/atom
energy of formation from the pure elements	-35.39	kJ per mole of atoms


Entry 5:
## AcCdGa (PBE)

Data for an optimized crystal structure of AcCdGa.

The structure in CIF format:
```
data_AcCdGa
_chemical_formula_sum 'Ac2 Cd2 Ga2'
_symmetry_space_group_name_H-M 'I 4 m m'
_symmetry_Int_Tables_number 107
_symmetry_space_group_name_Hall 'I 4 -2'
_cell_length_a 3.715
_cell_length_b 3.715
_cell_length_c 12.027
_cell_angle_alpha 90.00
_cell_angle_beta 90.00
_cell_angle_gamma 90.00
loop_
_atom_site_label
_atom_site_fract_x
_atom_site_fract_y
_atom_site_fract_z
Ac1 0.000 0.000 0.000
Cd1 0.000 0.000 0.697
Ga1 0.000 0.000 0.319
```

excess energy over the best structure of this formula in the dataset	21.4	kJ per mole of atoms
density of states at the Fermi level	0.726	states/eV/atom
energy of formation from the pure elements	-22.23	kJ per mole of atoms


Entry 6:
## AcCdGa (PBE)

Data for an optimized crystal structure of AcCdGa.

The structure in CIF format:
```
data_AcCdGa
_chemical_formula_sum 'Ac2 Cd2 Ga2'
_symmetry_space_group_name_H-M 'P m c 21'
_symmetry_Int_Tables_number 26
_symmetry_space_group_name_Hall 'P 2c -2'
_cell_length_a 4.162
_cell_length_b 8.507
_cell_length_c 4.820
_cell_angle_alpha 90.00
_cell_angle_beta 90.00
_cell_angle_gamma 90.00
loop_
_atom_site_label
_atom_site_fract_x
_atom_site_fract_y
_atom_site_fract_z
Ac1 0.000 0.227 0.000
Cd1 0.500 0.414 0.501
Ga1 0.500 0.083 0.501
```

excess energy over the best structure of this formula in the dataset	2.3	kJ per mole of atoms
density of states at the Fermi level	0.814	states/eV/atom
energy of formation from the pure elements	-41.33	kJ per mole of atoms


Entry 7:
## Ac3Cd2Ga (PBE)

Data for an optimized crystal structure of Ac3Cd2Ga.

The structure in CIF format:
```
data_Ac3Cd2Ga
_chemical_formula_sum 'Ac3 Cd2 Ga1'
_symmetry_space_group_name_H-M 'P 4/m m m'
_symmetry_Int_Tables_number 123
_symmetry_space_group_name_Hall '-P 4 2'
_cell_length_a 3.998
_cell_length_b 3.998
_cell_length_c 12.201
_cell_angle_alpha 90.00
_cell_angle_beta 90.00
_cell_angle_gamma 90.00
loop_
_atom_site_label
_atom_site_fract_x
_atom_site_fract_y
_atom_site_fract_z
Ac1 0.000 0.000 0.000
Ac2 0.000 0.000 0.345
Cd1 0.500 0.500 0.170
Ga1 0.500 0.500 0.500
```

excess energy over the best structure of this formula in the dataset	0.0	kJ per mole of atoms
density of states at the Fermi level	1.000	states/eV/atom
energy of formation from the pure elements	-33.06	kJ per mole of atoms


Entry 8:
## Ac3Cd2Ga4 (PBE)

Data for an optimized crystal structure of Ac3Cd2Ga4.

The structure in CIF format:
```
data_Ac3Cd2Ga4
_chemical_formula_sum 'Ac6 Cd4 Ga8'
_symmetry_space_group_name_H-M 'C 1 2/m 1'
_symmetry_Int_Tables_number 12
_symmetry_space_group_name_Hall '-C 2y'
_cell_length_a 11.860
_cell_length_b 4.717
_cell_length_c 9.284
_cell_angle_alpha 90.00
_cell_angle_beta 105.43
_cell_angle_gamma 90.00
loop_
_atom_site_label
_atom_site_fract_x
_atom_site_fract_y
_atom_site_fract_z
Ac1 0.000 0.000 0.000
Ac2 0.169 0.500 0.668
Cd1 0.107 0.500 0.276
Ga1 0.070 0.000 0.415
Ga2 0.202 0.500 0.028
```

density of states at the Fermi level	0.541	states/eV/atom
energy of formation from the pure elements	-47.02	kJ per mole of atoms


Entry 9:
## Ac6CdGa2 (PBE)

Data for an optimized crystal structure of Ac6CdGa2.

The structure in CIF format:
```
data_Ac6CdGa2
_chemical_formula_sum 'Ac12 Cd2 Ga4'
_symmetry_space_group_name_H-M 'P 1 21/c 1'
_symmetry_Int_Tables_number 14
_symmetry_space_group_name_Hall '-P 2ybc'
_cell_length_a 7.197
_cell_length_b 8.944
_cell_length_c 12.141
_cell_angle_alpha 90.00
_cell_angle_beta 120.65
_cell_angle_gamma 90.00
loop_
_atom_site_label
_atom_site_fract_x
_atom_site_fract_y
_atom_site_fract_z
Ac1 0.061 0.055 0.224
Ac2 0.187 0.696 0.073
Ac3 0.411 0.155 0.062
Cd1 0.500 0.000 0.500
Ga1 0.313 0.125 0.743
```

excess energy over the best structure of this formula in the dataset	9.5	kJ per mole of atoms
density of states at the Fermi level	1.196	states/eV/atom
energy of formation from the pure elements	-16.95	kJ per mole of atoms


Entry 10:
## Ac3CdGa2 (PBE)

Data for an optimized crystal structure of Ac3CdGa2.

The structure in CIF format:
```
data_Ac3CdGa2
_chemical_formula_sum 'Ac3 Cd1 Ga2'
_symmetry_space_group_name_H-M 'P 4/m m m'
_symmetry_Int_Tables_number 123
_symmetry_space_group_name_Hall '-P 4 2'
_cell_length_a 3.935
_cell_length_b 3.935
_cell_length_c 12.136
_cell_angle_alpha 90.00
_cell_angle_beta 90.00
_cell_angle_gamma 90.00
loop_
_atom_site_label
_atom_site_fract_x
_atom_site_fract_y
_atom_site_fract_z
Ac1 0.000 0.000 0.000
Ac2 0.000 0.000 0.320
Cd1 0.500 0.500 0.500
Ga1 0.500 0.500 0.165
```

excess energy over the best structure of this formula in the dataset	0.0	kJ per mole of atoms
density of states at the Fermi level	0.834	states/eV/atom
energy of formation from the pure elements	-37.96	kJ per mole of atoms


Entry 11:
## Ac5Cd4Ga (PBE)

Data for an optimized crystal structure of Ac5Cd4Ga.

The structure in CIF format:
```
data_Ac5Cd4Ga
_chemical_formula_sum 'Ac5 Cd4 Ga1'
_symmetry_space_group_name_H-M 'P 4/m m m'
_symmetry_Int_Tables_number 123
_symmetry_space_group_name_Hall '-P 4 2'
_cell_length_a 4.030
_cell_length_b 4.030
_cell_length_c 20.361
_cell_angle_alpha 90.00
_cell_angle_beta 90.00
_cell_angle_gamma 90.00
loop_
_atom_site_label
_atom_site_fract_x
_atom_site_fract_y
_atom_site_fract_z
Ac1 0.000 0.000 0.000
Ac2 0.000 0.000 0.203
Ac3 0.000 0.000 0.409
Cd1 0.500 0.500 0.101
Cd2 0.500 0.500 0.305
Ga1 0.500 0.500 0.500
```

density of states at the Fermi level	1.118	states/eV/atom
energy of formation from the pure elements	-31.21	kJ per mole of atoms


Entry 12:
## Ac2CdGa3 (PBE)

Data for an optimized crystal structure of Ac2CdGa3.

The structure in CIF format:
```
data_Ac2CdGa3
_chemical_formula_sum 'Ac16 Cd8 Ga24'
_symmetry_space_group_name_H-M 'F m m m'
_symmetry_Int_Tables_number 69
_symmetry_space_group_name_Hall '-F 2 2'
_cell_length_a 9.106
_cell_length_b 9.231
_cell_length_c 15.721
_cell_angle_alpha 90.00
_cell_angle_beta 90.00
_cell_angle_gamma 90.00
loop_
_atom_site_label
_atom_site_fract_x
_atom_site_fract_y
_atom_site_fract_z
Ac1 0.000 0.250 0.000
Ac2 0.250 0.250 0.250
Cd1 0.000 0.000 0.167
Ga1 0.000 0.000 0.339
Ga2 0.243 0.000 0.419
```

excess energy over the best structure of this formula in the dataset	1.1	kJ per mole of atoms
density of states at the Fermi level	0.881	states/eV/atom
energy of formation from the pure elements	-50.15	kJ per mole of atoms